# 1
CeTc | PBE | relaxed

Computed properties:
Its energy of formation from the pure elements is -48 meV per atom. The calculated density comes out at 9.96 g/cm3.

```
data_CeTc
_chemical_formula_sum 'Ce8 Tc8'
_cell_length_a 8.7770
_cell_length_b 6.9207
_cell_length_c 5.2301
_cell_angle_alpha 90.00
_cell_angle_beta 90.00
_cell_angle_gamma 90.00
_symmetry_space_group_name_H-M 'C m c m'
_symmetry_Int_Tables_number 63
_symmetry_space_group_name_Hall '-C 2c 2'
loop_
_atom_site_label
_atom_site_fract_x
_atom_site_fract_y
_atom_site_fract_z
Ce1 0.1955 0.1746 0.2500
Tc1 0.0000 0.1148 0.7500
Tc2 0.0000 0.5000 0.0000
```

=====

# 2
CsH3Pb | PBE | relaxed

Computed properties:
The calculated density comes out at 5.70 g/cm3. Its offset from the most stable computed form is 0.428 eV/f.u.

```
data_CsH3Pb
_chemical_formula_sum 'Cs1 H3 Pb1'
_cell_length_a 4.6403
_cell_length_b 4.6403
_cell_length_c 4.6403
_cell_angle_alpha 90.00
_cell_angle_beta 90.00
_cell_angle_gamma 90.00
_symmetry_space_group_name_H-M 'P m -3 m'
_symmetry_Int_Tables_number 221
_symmetry_space_group_name_Hall '-P 4 2 3'
loop_
_atom_site_label
_atom_site_fract_x
_atom_site_fract_y
_atom_site_fract_z
Cs1 0.0000 0.0000 0.0000
H1 0.0000 0.5000 0.5000
Pb1 0.5000 0.5000 0.5000
```

=====

# 3
Pm3AlTl | PBE | relaxed

Computed properties:
Its energy of formation from the pure elements is -252 meV per atom. The calculated density comes out at 7.61 g/cm3. Its offset from the most stable computed form is 0.000 eV/f.u.

```
data_Pm3AlTl
_chemical_formula_sum 'Pm12 Al4 Tl4'
_cell_length_a 5.0588
_cell_length_b 22.7275
_cell_length_c 5.0601
_cell_angle_alpha 90.00
_cell_angle_beta 90.00
_cell_angle_gamma 90.00
_symmetry_space_group_name_H-M 'C m c m'
_symmetry_Int_Tables_number 63
_symmetry_space_group_name_Hall '-C 2c 2'
loop_
_atom_site_label
_atom_site_fract_x
_atom_site_fract_y
_atom_site_fract_z
Pm1 0.0000 0.0615 0.2500
Pm2 0.0000 0.2498 0.2500
Pm3 0.0000 0.4380 0.2500
Al1 0.0000 0.1551 0.7500
Tl1 0.0000 0.3447 0.7500
```

=====

# 4
TlCo2Cu | PBE | relaxed

Computed properties:
Its energy of formation from the pure elements is 475 meV per atom. The calculated density comes out at 10.90 g/cm3. Its offset from the most stable computed form is 0.416 eV/f.u.

```
data_TlCo2Cu
_chemical_formula_sum 'Tl2 Co4 Cu2'
_cell_length_a 8.6622
_cell_length_b 3.0287
_cell_length_c 4.6079
_cell_angle_alpha 90.00
_cell_angle_beta 103.58
_cell_angle_gamma 90.00
_symmetry_space_group_name_H-M 'C 1 2/m 1'
_symmetry_Int_Tables_number 12
loop_
_symmetry_equiv_pos_as_xyz
'x,y,z'
'-x,-y,-z'
'-x,y,-z'
'x,-y,z'
'x+1/2,y+1/2,z'
'-x+1/2,-y+1/2,-z'
'-x+1/2,y+1/2,-z'
'x+1/2,-y+1/2,z'
loop_
_atom_site_label
_atom_site_fract_x
_atom_site_fract_y
_atom_site_fract_z
Tl1 0.0000 0.0000 0.0000
Co1 0.2418 0.0000 0.6969
Cu1 0.0000 0.5000 0.5000
```

=====

# 5
Be2CdIr | PBE | relaxed

Computed properties:
Its energy of formation from the pure elements is -58 meV per atom. The calculated density comes out at 10.27 g/cm3.

```
data_Be2CdIr
_chemical_formula_sum 'Be4 Cd2 Ir2'
_cell_length_a 2.9606
_cell_length_b 3.9332
_cell_length_c 8.9580
_cell_angle_alpha 90.00
_cell_angle_beta 90.00
_cell_angle_gamma 90.00
_symmetry_space_group_name_H-M 'I m m 2'
_symmetry_Int_Tables_number 44
loop_
_symmetry_equiv_pos_as_xyz
'x,y,z'
'-x,-y,z'
'-x,y,z'
'x,-y,z'
'x+1/2,y+1/2,z+1/2'
'-x+1/2,-y+1/2,z+1/2'
'-x+1/2,y+1/2,z+1/2'
'x+1/2,-y+1/2,z+1/2'
loop_
_atom_site_label
_atom_site_fract_x
_atom_site_fract_y
_atom_site_fract_z
Be1 0.0000 0.0000 0.0000
Be2 0.0000 0.5000 0.2242
Cd1 0.0000 0.5000 0.7648
Ir1 0.0000 0.0000 0.5307
```

=====

# 6
K2UTlS4 | PBE | relaxed

Computed properties:
The calculated density comes out at 4.65 g/cm3. The total DFT energy (no corrections) is -5.207 eV/atom.

```
data_K2UTlS4
_chemical_formula_sum 'K2 U1 Tl1 S4'
_cell_length_a 7.5920
_cell_length_b 4.1578
_cell_length_c 7.7586
_cell_angle_alpha 90.00
_cell_angle_beta 109.04
_cell_angle_gamma 90.00
_symmetry_space_group_name_H-M 'P 1 2/m 1'
_symmetry_Int_Tables_number 10
loop_
_symmetry_equiv_pos_as_xyz
'x,y,z'
'-x,-y,-z'
'-x,y,-z'
'x,-y,z'
loop_
_atom_site_label
_atom_site_fract_x
_atom_site_fract_y
_atom_site_fract_z
K1 0.0000 0.0000 0.0000
K2 0.0000 0.5000 0.5000
U1 0.5000 0.0000 0.5000
Tl1 0.5000 0.5000 0.0000
S1 0.2988 0.0000 0.7036
S2 0.2994 0.5000 0.2991
```

=====

Q: The lowest calculated density belongs to which entry?
A: K2UTlS4

=====

Q: Look up the calculated density of the sixth one.
A: 4.65 g/cm3

=====

Please write out number 4 again, unchanged.
TlCo2Cu | PBE | relaxed

Computed properties:
Its energy of formation from the pure elements is 475 meV per atom. The calculated density comes out at 10.90 g/cm3. Its offset from the most stable computed form is 0.416 eV/f.u.

```
data_TlCo2Cu
_chemical_formula_sum 'Tl2 Co4 Cu2'
_cell_length_a 8.6622
_cell_length_b 3.0287
_cell_length_c 4.6079
_cell_angle_alpha 90.00
_cell_angle_beta 103.58
_cell_angle_gamma 90.00
_symmetry_space_group_name_H-M 'C 1 2/m 1'
_symmetry_Int_Tables_number 12
loop_
_symmetry_equiv_pos_as_xyz
'x,y,z'
'-x,-y,-z'
'-x,y,-z'
'x,-y,z'
'x+1/2,y+1/2,z'
'-x+1/2,-y+1/2,-z'
'-x+1/2,y+1/2,-z'
'x+1/2,-y+1/2,z'
loop_
_atom_site_label
_atom_site_fract_x
_atom_site_fract_y
_atom_site_fract_z
Tl1 0.0000 0.0000 0.0000
Co1 0.2418 0.0000 0.6969
Cu1 0.0000 0.5000 0.5000
```